Material: Mn3HgO
Method: DFT, PBE with a Hubbard U
State: optimized geometry

Cell lengths 4.3549, 4.3549, 4.3549 Å; angles 90.00, 90.00, 90.00 degrees
Last column: nearest neighbours and their distance in Å.
Fractional positions:
Mn: 0.0000 0.0000 0.5000  2 O 2.18
Mn: 0.5000 0.0000 0.0000  2 O 2.18
Mn: 0.0000 0.5000 0.0000  2 O 2.18
O: 0.0000 0.0000 0.0000  6 Mn 2.18
Hg: 0.5000 0.5000 0.5000  12 Mn 3.08

Summary:
VASP energy = -29.3 eV/cell
Total magnetic moment = 13.261 μB per formula unit